# 1
{"formula": "MnTeIr2", "functional": "PBE-GGA", "state": "optimized geometry", "total_energy_ev_per_atom": -7.273, "dos_at_fermi_per_ev_atom": 0.652, "lattice": [[4.1681, 0.0000, 0.0000], [0.0000, 4.1681, 0.0000], [0.0000, 0.0000, 3.7617]], "species": ["Mn", "Te", "Ir", "Ir"], "frac_coords": [[0.0000, 0.0000, 0.0000], [0.5000, 0.5000, 0.0000], [0.0000, 0.5000, 0.5000], [0.5000, 0.0000, 0.5000]]}

=====

# 2
{"formula": "MnTeIr2", "functional": "PBE-GGA", "state": "optimized geometry", "total_energy_ev_per_atom": -7.302, "dos_at_fermi_per_ev_atom": 0.565, "lattice": [[4.2099, -1.6979, 0.0000], [4.2099, 1.6979, 0.0000], [-1.1236, 0.0000, 4.6418]], "species": ["Mn", "Te", "Ir", "Ir"], "frac_coords": [[0.0000, 0.0000, 0.0000], [0.5000, 0.5000, 0.5000], [0.2555, 0.2555, 0.7732], [0.7445, 0.7445, 0.2268]]}

=====

# 3
{"formula": "MnTe2Ir", "functional": "PBE-GGA", "state": "optimized geometry", "dos_at_fermi_per_ev_atom": 0.815, "polymorph_energy_mev_per_atom": 562, "lattice": [[-2.0202, 2.0202, 4.8844], [2.0202, -2.0202, 4.8844], [2.0202, 2.0202, -4.8844]], "species": ["Mn", "Te", "Te", "Ir"], "frac_coords": [[0.0000, 0.0000, 0.0000], [0.2500, 0.7500, 0.5000], [0.5000, 0.5000, 0.0000], [0.7500, 0.2500, 0.5000]]}

=====

# 4
{"formula": "MnTeIr3", "functional": "PBE-GGA", "state": "optimized geometry", "dos_at_fermi_per_ev_atom": 0.964, "polymorph_energy_mev_per_atom": 364, "lattice": [[4.8368, 0.0000, 0.0000], [0.0000, 4.8368, 0.0000], [0.0000, 0.0000, 4.8368]], "species": ["Mn", "Te", "Ir", "Ir", "Ir"], "frac_coords": [[0.0000, 0.0000, 0.0000], [0.5000, 0.5000, 0.5000], [0.0000, 0.5000, 0.5000], [0.5000, 0.0000, 0.5000], [0.5000, 0.5000, 0.0000]]}

=====

Which formula does entry 1 have?
MnTeIr2